(1)
LiZnAg2: single point on PBEsol structure, meta-GGA SCAN.

Output
Its energy of formation is -0.156 eV/atom. As for the symmetry: I-4m2. Its total DFT energy (no corrections) is -79.3 eV per cell. The calculation puts the total moment at 0.0 μB per formula unit.

Geometry as POSCAR:
```
LiZnAg2
1.0
-1.9382 1.9382 4.0247
1.9382 -1.9382 4.0247
1.9382 1.9382 -4.0247
Li Zn Ag
1 1 2
direct
0.0000 0.0000 0.0000 Li
0.7500 0.2500 0.5000 Zn
0.2500 0.7500 0.5000 Ag
0.5000 0.5000 0.0000 Ag
```

=====

(2)
LiZnAg2: single point on PBEsol structure, meta-GGA SCAN.

Output
Its energy of formation is -0.117 eV/atom. As for the symmetry: F-43m. Its total DFT energy (no corrections) is -79.1 eV per cell. The calculation puts the total moment at 0.0 μB per formula unit.

Geometry as POSCAR:
```
LiZnAg2
1.0
0.0000 3.1317 3.1317
3.1317 0.0000 3.1317
3.1317 3.1317 0.0000
Li Zn Ag
1 1 2
direct
0.0000 0.0000 0.0000 Li
0.2500 0.2500 0.2500 Zn
0.5000 0.5000 0.5000 Ag
0.7500 0.7500 0.7500 Ag
```

=====

(3)
LiZnAg2: single point on PBEsol structure, meta-GGA SCAN.

Output
Its energy of formation is -0.134 eV/atom. As for the symmetry: Pmm2. Its total DFT energy (no corrections) is -79.2 eV per cell. The calculation puts the total moment at 0.0 μB per formula unit.

Geometry as POSCAR:
```
LiZnAg2
1.0
2.8232 0.0000 0.0000
0.0000 3.9829 0.0000
0.0000 0.0000 5.4455
Li Zn Ag
1 1 2
direct
0.0000 0.0000 0.0000 Li
0.5000 0.5000 0.2599 Zn
0.0000 0.0000 0.4886 Ag
0.5000 0.5000 0.7684 Ag
```

=====

(4)
LiZnAg2: single point on PBEsol structure, meta-GGA SCAN.

Output
Its energy of formation is -0.095 eV/atom. As for the symmetry: P4mm. Its total DFT energy (no corrections) is -79.0 eV per cell. The calculation puts the total moment at 0.0 μB per formula unit.

Geometry as POSCAR:
```
LiZnAg2
1.0
2.8433 0.0000 0.0000
0.0000 2.8433 0.0000
0.0000 0.0000 7.6380
Li Zn Ag
1 1 2
direct
0.0000 0.0000 0.0000 Li
0.5000 0.5000 0.2391 Zn
0.0000 0.0000 0.4845 Ag
0.5000 0.5000 0.7548 Ag
```

=====

(5)
Li2Zn2Ag: single point on PBEsol structure, meta-GGA SCAN.

Output
Its energy of formation is -0.127 eV/atom. As for the symmetry: P4/mbm. Its total DFT energy (no corrections) is -127.6 eV per cell. The calculation puts the total moment at 0.0 μB per formula unit.

Geometry as POSCAR:
```
Li2Zn2Ag
1.0
7.0040 0.0000 0.0000
0.0000 7.0040 0.0000
0.0000 0.0000 2.9517
Li Zn Ag
4 4 2
direct
0.1699 0.3301 0.0000 Li
0.3301 0.8301 0.0000 Li
0.6699 0.1699 0.0000 Li
0.8301 0.6699 0.0000 Li
0.1282 0.6282 0.5000 Zn
0.3718 0.1282 0.5000 Zn
0.6282 0.8718 0.5000 Zn
0.8718 0.3718 0.5000 Zn
0.0000 0.0000 0.5000 Ag
0.5000 0.5000 0.5000 Ag
```

=====

(6)
LiZnAg2: single point on PBEsol structure, meta-GGA SCAN.

Output
Its energy of formation is -0.083 eV/atom. As for the symmetry: R-3m. Its total DFT energy (no corrections) is -79.0 eV per cell. The calculation puts the total moment at 0.0 μB per formula unit.

Geometry as POSCAR:
```
LiZnAg2
1.0
1.4262 0.8234 8.8420
-1.4262 0.8234 8.8420
0.0000 -1.6468 8.8420
Li Zn Ag
1 1 2
direct
0.0000 0.0000 0.0000 Li
0.5000 0.5000 0.5000 Zn
0.2495 0.2495 0.2495 Ag
0.7505 0.7505 0.7505 Ag
```

=====

(7)
LiZnAg2: single point on PBEsol structure, meta-GGA SCAN.

Output
Its energy of formation is -0.121 eV/atom. As for the symmetry: C2/m. Its total DFT energy (no corrections) is -79.1 eV per cell. The calculation puts the total moment at 0.0 μB per formula unit.

Geometry as POSCAR:
```
LiZnAg2
1.0
4.4626 -1.4146 0.0000
4.4626 1.4146 0.0000
-0.8379 0.0000 4.8881
Li Zn Ag
1 1 2
direct
0.0000 0.0000 0.0000 Li
0.5000 0.5000 0.5000 Zn
0.2446 0.2446 0.7491 Ag
0.7554 0.7554 0.2509 Ag
```

=====

(8)
LiZn2Ag2: single point on PBEsol structure, meta-GGA SCAN.

Output
Its energy of formation is -0.093 eV/atom. As for the symmetry: P4/mbm. Its total DFT energy (no corrections) is -185.2 eV per cell. The calculation puts the total moment at 0.0 μB per formula unit.

Geometry as POSCAR:
```
LiZn2Ag2
1.0
7.5521 0.0000 0.0000
0.0000 7.5521 0.0000
0.0000 0.0000 2.8567
Li Zn Ag
2 4 4
direct
0.0000 0.0000 0.0000 Li
0.5000 0.5000 0.0000 Li
0.1595 0.3405 0.5000 Zn
0.3405 0.8405 0.5000 Zn
0.6595 0.1595 0.5000 Zn
0.8405 0.6595 0.5000 Zn
0.1391 0.6391 0.0000 Ag
0.3609 0.1391 0.0000 Ag
0.6391 0.8609 0.0000 Ag
0.8609 0.3609 0.0000 Ag
```

=====

(9)
LiZnAg2: single point on PBEsol structure, meta-GGA SCAN.

Output
Its energy of formation is -0.120 eV/atom. As for the symmetry: P4/mmm. Its total DFT energy (no corrections) is -79.1 eV per cell. The calculation puts the total moment at 0.0 μB per formula unit.

Geometry as POSCAR:
```
LiZnAg2
1.0
3.1966 0.0000 0.0000
0.0000 3.1966 0.0000
0.0000 0.0000 5.8685
Li Zn Ag
1 1 2
direct
0.0000 0.0000 0.0000 Li
0.0000 0.0000 0.5000 Zn
0.5000 0.5000 0.2490 Ag
0.5000 0.5000 0.7510 Ag
```

=====

(10)
LiZnAg2: single point on PBEsol structure, meta-GGA SCAN.

Output
Its energy of formation is -0.133 eV/atom. As for the symmetry: Pmmm. Its total DFT energy (no corrections) is -79.2 eV per cell. The calculation puts the total moment at 0.0 μB per formula unit.

Geometry as POSCAR:
```
LiZnAg2
1.0
2.8340 0.0000 0.0000
0.0000 3.7813 0.0000
0.0000 0.0000 5.6556
Li Zn Ag
1 1 2
direct
0.0000 0.0000 0.0000 Li
0.0000 0.0000 0.5000 Zn
0.5000 0.5000 0.2500 Ag
0.5000 0.5000 0.7500 Ag
```

=====

(11)
LiZr2Ag: single point on PBEsol structure, meta-GGA SCAN.

Output
Its energy of formation is -0.040 eV/atom. As for the symmetry: P4mm. Its total DFT energy (no corrections) is -95.3 eV per cell. The calculation puts the total moment at 0.0 μB per formula unit.

Geometry as POSCAR:
```
LiZr2Ag
1.0
3.0773 0.0000 0.0000
0.0000 3.0773 0.0000
0.0000 0.0000 8.2220
Li Zr Ag
1 2 1
direct
0.0000 0.0000 0.0000 Li
0.0000 0.0000 0.5526 Zr
0.5000 0.5000 0.2907 Zr
0.5000 0.5000 0.8096 Ag
```

=====

(12)
LiZr2Ag: single point on PBEsol structure, meta-GGA SCAN.

Output
Its energy of formation is 0.238 eV/atom. As for the symmetry: F-43m. Its total DFT energy (no corrections) is -94.2 eV per cell. The calculation puts the total moment at 2.3 μB per formula unit.

Geometry as POSCAR:
```
LiZr2Ag
1.0
0.0000 3.3633 3.3633
3.3633 0.0000 3.3633
3.3633 3.3633 0.0000
Li Zr Ag
1 2 1
direct
0.0000 0.0000 0.0000 Li
0.2500 0.2500 0.2500 Zr
0.5000 0.5000 0.5000 Zr
0.7500 0.7500 0.7500 Ag
```

=====

(13)
Li2ZrAg: single point on PBEsol structure, meta-GGA SCAN.

Output
Its energy of formation is 0.054 eV/atom. As for the symmetry: Cmmm. Its total DFT energy (no corrections) is -66.6 eV per cell. The calculation puts the total moment at 0.0 μB per formula unit.

Geometry as POSCAR:
```
Li2ZrAg
1.0
1.5501 -2.3951 0.0000
1.5501 2.3951 0.0000
0.0000 0.0000 9.6464
Li Zr Ag
2 1 1
direct
0.0000 0.0000 0.2253 Li
0.0000 0.0000 0.7747 Li
0.5000 0.5000 0.5000 Zr
0.5000 0.5000 0.0000 Ag
```

=====

(14)
LiZr2Ag: single point on PBEsol structure, meta-GGA SCAN.

Output
Its energy of formation is 0.105 eV/atom. As for the symmetry: Pmmm. Its total DFT energy (no corrections) is -94.7 eV per cell. The calculation puts the total moment at 0.0 μB per formula unit.

Geometry as POSCAR:
```
LiZr2Ag
1.0
3.4963 0.0000 0.0000
0.0000 4.5099 0.0000
0.0000 0.0000 4.7669
Li Zr Ag
1 2 1
direct
0.0000 0.0000 0.0000 Li
0.0000 0.5000 0.5000 Zr
0.5000 0.0000 0.5000 Zr
0.5000 0.5000 0.0000 Ag
```

=====

(15)
Li2ZrAg: single point on PBEsol structure, meta-GGA SCAN.

Output
Its energy of formation is 0.184 eV/atom. As for the symmetry: Fm-3m. Its total DFT energy (no corrections) is -66.1 eV per cell. The calculation puts the total moment at 0.0 μB per formula unit.

Geometry as POSCAR:
```
Li2ZrAg
1.0
0.0000 3.1747 3.1747
3.1747 0.0000 3.1747
3.1747 3.1747 0.0000
Li Zr Ag
2 1 1
direct
0.2500 0.2500 0.2500 Li
0.7500 0.7500 0.7500 Li
0.0000 0.0000 0.0000 Zr
0.5000 0.5000 0.5000 Ag
```

=====

(16)
Li2ZrAg: single point on PBEsol structure, meta-GGA SCAN.

Output
Its energy of formation is 0.185 eV/atom. As for the symmetry: P4/mmm. Its total DFT energy (no corrections) is -66.1 eV per cell. The calculation puts the total moment at 0.9 μB per formula unit.

Geometry as POSCAR:
```
Li2ZrAg
1.0
3.9255 0.0000 0.0000
0.0000 3.9255 0.0000
0.0000 0.0000 4.7713
Li Zr Ag
2 1 1
direct
0.0000 0.5000 0.0000 Li
0.5000 0.0000 0.0000 Li
0.0000 0.0000 0.5000 Zr
0.5000 0.5000 0.5000 Ag
```

=====

(17)
Li2ZrAg: single point on PBEsol structure, meta-GGA SCAN.

Output
Its energy of formation is 0.069 eV/atom. As for the symmetry: Pm. Its total DFT energy (no corrections) is -66.6 eV per cell. The calculation puts the total moment at 0.0 μB per formula unit.

Geometry as POSCAR:
```
Li2ZrAg
1.0
2.7920 0.0000 0.0000
0.0000 4.6299 0.0000
-0.8910 0.0000 5.6227
Li Zr Ag
2 1 1
direct
0.0000 0.0000 0.0000 Li
0.3482 0.5000 0.8220 Li
0.7343 0.5000 0.3447 Zr
0.3081 0.0000 0.5412 Ag
```

=====

(18)
LuAgO2: single point on PBEsol structure, meta-GGA SCAN.

Output
As for the symmetry: R-3m. The calculation puts the uncorrected formation energy at -10.4 eV/f.u. Its total DFT energy (no corrections) is -109.6 eV per cell. The calculation puts the total moment at 0.0 μB per formula unit.

Geometry as POSCAR:
```
LuAgO2
1.0
1.6833 0.9718 6.1317
-1.6833 0.9718 6.1317
0.0000 -1.9437 6.1317
Lu Ag O
1 1 2
direct
0.0000 0.0000 0.0000 Lu
0.5000 0.5000 0.5000 Ag
0.3890 0.3890 0.3890 O
0.6110 0.6110 0.6110 O
```

=====

(19)
LuAgPb: single point on PBEsol structure, meta-GGA SCAN.

Output
Its energy of formation is -0.452 eV/atom. As for the symmetry: P-62m. Its total DFT energy (no corrections) is -491.5 eV per cell. The calculation puts the total moment at 0.0 μB per formula unit.

Geometry as POSCAR:
```
LuAgPb
1.0
7.2863 0.0000 0.0000
-3.6431 6.3101 0.0000
0.0000 0.0000 4.4509
Lu Ag Pb
3 3 3
direct
0.0000 0.5671 0.0000 Lu
0.4329 0.4329 0.0000 Lu
0.5671 0.0000 0.0000 Lu
0.0000 0.2448 0.5000 Ag
0.2448 0.0000 0.5000 Ag
0.7552 0.7552 0.5000 Ag
0.0000 0.0000 0.0000 Pb
0.3333 0.6667 0.5000 Pb
0.6667 0.3333 0.5000 Pb
```

=====

(20)
LuAgS2: single point on PBEsol structure, meta-GGA SCAN.

Output
As for the symmetry: I4_1/amd. The calculation puts the uncorrected formation energy at -5.9 eV/f.u. Its total DFT energy (no corrections) is -223.8 eV per cell. The calculation puts the total moment at 0.0 μB per formula unit.

Geometry as POSCAR:
```
LuAgS2
1.0
-2.6402 2.6402 5.7361
2.6402 -2.6402 5.7361
2.6402 2.6402 -5.7361
Lu Ag S
2 2 4
direct
0.3750 0.6250 0.7500 Lu
0.6250 0.3750 0.2500 Lu
0.1250 0.8750 0.2500 Ag
0.8750 0.1250 0.7500 Ag
0.1443 0.3943 0.7500 S
0.3943 0.1443 0.2500 S
0.6057 0.8557 0.7500 S
0.8557 0.6057 0.2500 S
```

=====

(21)
LuAgSe2: single point on PBEsol structure, meta-GGA SCAN.

Output
As for the symmetry: P2_12_12_1. The calculation puts the uncorrected formation energy at -5.3 eV/f.u. Its total DFT energy (no corrections) is -528.6 eV per cell. The calculation puts the total moment at 0.0 μB per formula unit.

Geometry as POSCAR:
```
LuAgSe2
1.0
4.1202 0.0000 0.0000
0.0000 6.5923 0.0000
0.0000 0.0000 13.3872
Lu Ag Se
4 4 8
direct
0.2056 0.2081 0.3732 Lu
0.2944 0.7919 0.8732 Lu
0.7056 0.2919 0.6268 Lu
0.7944 0.7081 0.1268 Lu
0.0104 0.7105 0.3699 Ag
0.4896 0.2895 0.8699 Ag
0.5104 0.7895 0.6301 Ag
0.9896 0.2105 0.1301 Ag
0.2064 0.0839 0.7253 Se
0.2148 0.4931 0.5271 Se
0.2852 0.5069 0.0271 Se
0.2936 0.9161 0.2253 Se
0.7064 0.4161 0.2747 Se
0.7148 0.0069 0.4729 Se
0.7852 0.9931 0.9729 Se
0.7936 0.5839 0.7747 Se
```

=====

(22)
LuSiAg: single point on PBEsol structure, meta-GGA SCAN.

Output
As for the symmetry: P-62m. The calculation puts the uncorrected formation energy at -1.8 eV/f.u. Its total DFT energy (no corrections) is -295.7 eV per cell. The calculation puts the total moment at 0.0 μB per formula unit.

Geometry as POSCAR:
```
LuSiAg
1.0
6.8272 0.0000 0.0000
-3.4136 5.9125 0.0000
0.0000 0.0000 4.0846
Lu Si Ag
3 3 3
direct
0.0000 0.4207 0.0000 Lu
0.4207 0.0000 0.0000 Lu
0.5793 0.5793 0.0000 Lu
0.0000 0.0000 0.0000 Si
0.3333 0.6667 0.5000 Si
0.6667 0.3333 0.5000 Si
0.0000 0.7494 0.5000 Ag
0.2506 0.2506 0.5000 Ag
0.7494 0.0000 0.5000 Ag
```

=====

(23)
LuAgSn: single point on PBEsol structure, meta-GGA SCAN.

Output
Its energy of formation is -0.624 eV/atom. As for the symmetry: P6_3mc. Its total DFT energy (no corrections) is -249.0 eV per cell. The calculation puts the total moment at 0.0 μB per formula unit.

Geometry as POSCAR:
```
LuAgSn
1.0
4.6113 0.0000 0.0000
-2.3057 3.9935 0.0000
0.0000 0.0000 7.1445
Lu Ag Sn
2 2 2
direct
0.0000 0.0000 0.0000 Lu
0.0000 0.0000 0.5000 Lu
0.3333 0.6667 0.3188 Ag
0.6667 0.3333 0.8188 Ag
0.3333 0.6667 0.7228 Sn
0.6667 0.3333 0.2228 Sn
```

=====

(24)
LuAg2Sn: single point on PBEsol structure, meta-GGA SCAN.

Output
Its energy of formation is -0.340 eV/atom. As for the symmetry: I4/mmm. Its total DFT energy (no corrections) is -155.4 eV per cell. The calculation puts the total moment at 0.0 μB per formula unit.

Geometry as POSCAR:
```
LuAg2Sn
1.0
-2.3920 2.3920 3.4607
2.3920 -2.3920 3.4607
2.3920 2.3920 -3.4607
Lu Ag Sn
1 2 1
direct
0.0000 0.0000 0.0000 Lu
0.2500 0.7500 0.5000 Ag
0.7500 0.2500 0.5000 Ag
0.5000 0.5000 0.0000 Sn
```

=====

(25)
LuAgSn: single point on PBEsol structure, meta-GGA SCAN.

Output
Its energy of formation is -0.586 eV/atom. As for the symmetry: P-62m. Its total DFT energy (no corrections) is -373.2 eV per cell. The calculation puts the total moment at 0.0 μB per formula unit.

Geometry as POSCAR:
```
LuAgSn
1.0
7.1690 0.0000 0.0000
-3.5845 6.2085 0.0000
0.0000 0.0000 4.3887
Lu Ag Sn
3 3 3
direct
0.0000 0.4329 0.0000 Lu
0.4329 0.0000 0.0000 Lu
0.5671 0.5671 0.0000 Lu
0.0000 0.7544 0.5000 Ag
0.2456 0.2456 0.5000 Ag
0.7544 0.0000 0.5000 Ag
0.0000 0.0000 0.0000 Sn
0.3333 0.6667 0.5000 Sn
0.6667 0.3333 0.5000 Sn
```

=====

(26)
LuAgTe2: single point on PBEsol structure, meta-GGA SCAN.

Output
As for the symmetry: P3m1. The calculation puts the uncorrected formation energy at -3.7 eV/f.u. Its total DFT energy (no corrections) is -164.9 eV per cell. The calculation puts the total moment at 0.0 μB per formula unit.

Geometry as POSCAR:
```
LuAgTe2
1.0
4.3576 0.0000 0.0000
-2.1788 3.7738 0.0000
0.0000 0.0000 7.1712
Lu Ag Te
1 1 2
direct
0.0000 0.0000 0.0000 Lu
0.6667 0.3333 0.5979 Ag
0.3333 0.6667 0.7573 Te
0.6667 0.3333 0.2207 Te
```

=====

(27)
TmLuAg2: single point on PBEsol structure, meta-GGA SCAN.

Output
Its energy of formation is -0.406 eV/atom. As for the symmetry: Fm-3m. Its total DFT energy (no corrections) is -171.5 eV per cell. The calculation puts the total moment at 0.0 μB per formula unit.

Geometry as POSCAR:
```
TmLuAg2
1.0
0.0000 3.5076 3.5076
3.5076 0.0000 3.5076
3.5076 3.5076 0.0000
Tm Lu Ag
1 1 2
direct
0.0000 0.0000 0.0000 Tm
0.5000 0.5000 0.5000 Lu
0.2500 0.2500 0.2500 Ag
0.7500 0.7500 0.7500 Ag
```

=====

(28)
Mg3Ag: single point on PBEsol structure, meta-GGA SCAN.

Output
Its energy of formation is -0.077 eV/atom. As for the symmetry: P-6m2. Its total DFT energy (no corrections) is -46.6 eV per cell. The calculation puts the total moment at 0.0 μB per formula unit.

Geometry as POSCAR:
```
Mg3Ag
1.0
3.1407 0.0000 0.0000
-1.5703 2.7199 0.0000
0.0000 0.0000 9.4629
Mg Ag
3 1
direct
0.0000 0.0000 0.0000 Mg
0.6667 0.3333 0.2695 Mg
0.6667 0.3333 0.7305 Mg
0.0000 0.0000 0.5000 Ag
```